Material: CaMg2Si2Au7
Method: DFT, GGA-PBE
State: relaxed

abc: 4.3428 4.3428 13.3019
angles: 77.61 77.61 89.71
Positions (direct):
1 Ca 0.0000 0.0000 0.0000
2 Mg 0.7851 0.7851 0.3319
3 Mg 0.2149 0.2149 0.6681
4 Si 0.6926 0.6926 0.7257
5 Si 0.3074 0.3074 0.2743
6 Au 0.5000 0.5000 0.0000
7 Au 0.3191 0.3191 0.4535
8 Au 0.6809 0.6809 0.5465
9 Au 0.8769 0.3852 0.1732
10 Au 0.3852 0.8769 0.1732
11 Au 0.6148 0.1231 0.8268
12 Au 0.1231 0.6148 0.8268

## Properties
VASP energy: -3.54 eV per atom
E_form (uncorrected): -291.1 meV per atom
space-group type: C2/m (12)

Material: KLiNb2
Method: DFT, GGA-PBE
State: relaxed

abc: 3.8514 3.8514 12.5856
angles: 81.20 81.20 90.00
Positions (direct):
1 Nb 0.6133 0.1250 0.2500
2 Nb 0.1367 0.6250 0.2500
3 Nb 0.3750 0.3867 0.7500
4 Nb 0.8750 0.8633 0.7500
5 K 0.0000 0.0000 0.0000
6 K 0.7500 0.2500 0.5000
7 Li 0.5000 0.5000 0.0000
8 Li 0.2500 0.7500 0.5000

## Properties
VASP energy: -4.75 eV per atom
relative energy among the computed polymorphs: 0 meV/atom
formation energy from the elements: 1.039 eV/atom
space-group type: I-42d (122)